1.
Density functional theory data (SCAN) for TcRuW2 at its PBEsol-relaxed geometry.

a = 3.0939 Å, b = 4.4412 Å, c = 5.0857 Å
α = 115.89°, β = 107.71°, γ = 90.00°
Last column: nearest neighbours and their distance in Å.
Sites, in units of the cell vectors:
W1 0.7422 0.7422 0.4845  2 Tc 2.60, 2 Ru 2.71, 4 W 2.71
W2 0.2578 0.2578 0.5155  2 Tc 2.60, 2 Ru 2.71, 4 W 2.71
Tc1 0.0000 0.5000 0.0000  4 W 2.60, 4 Ru 2.71
Ru1 0.5000 0.0000 0.0000  4 W 2.71, 4 Tc 2.71

Computed properties:
Size of the total moment, μB per cell: 0.00
Formation enthalpy at 0 K, eV per atom: 0.1651
ΔE to the lowest computed polymorph, eV per atom: 0.025

***

2.
Density functional theory data (SCAN) for TcRuW at its PBEsol-relaxed geometry.

a = 4.1519 Å, b = 4.1519 Å, c = 4.1519 Å
α = 60.00°, β = 60.00°, γ = 60.00°
Last column: nearest neighbours and their distance in Å.
Sites, in units of the cell vectors:
Tc1 0.2500 0.2500 0.2500  4 W 2.54, 4 Ru 2.54
W1 0.0000 0.0000 0.0000  4 Tc 2.54
Ru1 0.5000 0.5000 0.5000  4 Tc 2.54

Computed properties:
Size of the total moment, μB per cell: 0.00
Formation enthalpy at 0 K, eV per atom: 0.7559
ΔE to the lowest computed polymorph, eV per atom: 0.557

***

3.
Density functional theory data (SCAN) for Tc2Ru2W at its PBEsol-relaxed geometry.

a = 3.3688 Å, b = 3.3688 Å, c = 7.1217 Å
α = 103.68°, β = 103.68°, γ = 90.00°
Last column: nearest neighbours and their distance in Å.
Sites, in units of the cell vectors:
Tc1 0.2500 0.7500 0.5000  4 Tc 2.38
Tc2 0.7500 0.2500 0.5000  4 Tc 2.38
Ru1 0.5948 0.5948 0.1896  1 Ru 2.54, 4 Tc 2.68, 4 W 2.70
Ru2 0.4052 0.4052 0.8104  1 Ru 2.54, 4 Tc 2.68, 4 W 2.70
W1 0.0000 0.0000 0.0000  8 Ru 2.70

Computed properties:
Size of the total moment, μB per cell: 0.00
Formation enthalpy at 0 K, eV per atom: 0.6038

***

4.
Density functional theory data (SCAN) for TcRu2W at its PBEsol-relaxed geometry.

a = 2.7068 Å, b = 2.7068 Å, c = 7.7171 Å
α = 90.00°, β = 90.00°, γ = 90.00°
Last column: nearest neighbours and their distance in Å.
Sites, in units of the cell vectors:
W1 0.5000 0.5000 0.7555  4 W 2.71, 4 Ru 2.72, 4 Tc 2.82
Ru1 0.5000 0.5000 0.2521  4 Tc 2.64, 8 Ru 2.70-2.71
Ru2 0.0000 0.0000 0.0052  8 Ru 2.70-2.71, 4 W 2.72
Tc1 0.0000 0.0000 0.4873  4 Ru 2.64, 4 Tc 2.71, 4 W 2.82

Computed properties:
Size of the total moment, μB per cell: 0.00
Formation enthalpy at 0 K, eV per atom: 0.1232
ΔE to the lowest computed polymorph, eV per atom: 0.108

***

5.
Density functional theory data (SCAN) for TcRuW2 at its PBEsol-relaxed geometry.

a = 2.7599 Å, b = 2.7599 Å, c = 9.1005 Å
α = 81.28°, β = 81.28°, γ = 60.00°
Last column: nearest neighbours and their distance in Å.
Sites, in units of the cell vectors:
W1 0.7508 0.7508 0.7475  3 Ru 2.73, 6 W 2.76, 3 Tc 2.77
W2 0.2492 0.2492 0.2525  3 Ru 2.73, 6 W 2.76, 3 Tc 2.77
Ru1 0.5000 0.5000 0.5000  6 W 2.73, 6 Ru 2.76
Tc1 0.0000 0.0000 0.0000  6 Tc 2.76, 6 W 2.77

Computed properties:
Size of the total moment, μB per cell: 0.00
Formation enthalpy at 0 K, eV per atom: 0.2292
ΔE to the lowest computed polymorph, eV per atom: 0.089

***

6.
Density functional theory data (SCAN) for TcRu2W at its PBEsol-relaxed geometry.

a = 3.8182 Å, b = 3.8182 Å, c = 4.7144 Å
α = 113.89°, β = 113.89°, γ = 90.00°
Last column: nearest neighbours and their distance in Å.
Sites, in units of the cell vectors:
Tc1 0.5000 0.5000 0.0000  8 Ru 2.70-2.72, 4 W 2.72
Ru1 0.7500 0.2500 0.5000  4 W 2.70, 4 Tc 2.72, 4 Ru 2.72
Ru2 0.0000 0.0000 0.0000  4 Tc 2.70, 4 W 2.72, 4 Ru 2.72
W1 0.2500 0.7500 0.5000  8 Ru 2.70-2.72, 4 Tc 2.72

Computed properties:
Size of the total moment, μB per cell: 0.00
Formation enthalpy at 0 K, eV per atom: 0.0529
ΔE to the lowest computed polymorph, eV per atom: 0.038

***

7.
Density functional theory data (SCAN) for TcRuW2 at its PBEsol-relaxed geometry.

a = 3.0989 Å, b = 3.0989 Å, c = 6.2328 Å
α = 90.00°, β = 90.00°, γ = 90.00°
Last column: nearest neighbours and their distance in Å.
Sites, in units of the cell vectors:
W1 0.0000 0.0000 0.9922  4 Tc 2.59, 4 W 2.74
W2 0.5000 0.5000 0.2564  4 Ru 2.60, 4 W 2.74
Ru1 0.0000 0.0000 0.4814  4 W 2.60, 4 Tc 2.84
Tc1 0.5000 0.5000 0.7700  4 W 2.59, 4 Ru 2.84

Computed properties:
Size of the total moment, μB per cell: 0.00
Formation enthalpy at 0 K, eV per atom: 0.1402
ΔE to the lowest computed polymorph, eV per atom: 0.000

***

8.
Density functional theory data (SCAN) for Tc2RuW at its PBEsol-relaxed geometry.

a = 3.0206 Å, b = 4.3627 Å, c = 4.3627 Å
α = 90.00°, β = 90.00°, γ = 90.00°
Last column: nearest neighbours and their distance in Å.
Sites, in units of the cell vectors:
Ru1 0.5000 0.0000 0.0000  8 Tc 2.65
W1 0.5000 0.5000 0.5000  8 Tc 2.65
Tc1 0.0000 0.5000 0.0000  4 W 2.65, 4 Ru 2.65
Tc2 0.0000 0.0000 0.5000  4 W 2.65, 4 Ru 2.65

Computed properties:
Size of the total moment, μB per cell: 0.00
Formation enthalpy at 0 K, eV per atom: 0.2167
ΔE to the lowest computed polymorph, eV per atom: 0.154